[1]
DFT (GGA-PBE) results for a relaxed NaErTl3 crystal.

As for the energy relative to the elements: -21 meV per atom.

The space group is C2/m (No. 12) and the conventional cell measures 17.2753, 6.3592 and 5.8027 Å, with angles of 90.00, 109.57 and 90.00 degrees. Symmetry generates all atoms from Na at (0.1566, 0.0000, 0.4092), Er at (0.0626, 0.5000, 0.8136), Tl at (0.0449, 0.0000, 0.7955), Tl at (0.1359, 0.5000, 0.3858) and Tl at (0.2441, 0.0000, 0.9969).

[2]
DFT (GGA-PBE) results for a relaxed NaEr7Tl4 crystal.

As for the energy relative to the elements: 37 meV per atom.

The space group is C2/m (No. 12) and the conventional cell measures 14.2523, 5.6235 and 10.7901 Å, with angles of 90.00, 124.60 and 90.00 degrees. Symmetry generates all atoms from Na at (0.0000, 0.0000, 0.0000), Er at (0.0000, 0.5000, 0.0000), Er at (0.0552, 0.0000, 0.3714), Er at (0.1833, 0.5000, 0.6106), Er at (0.2188, 0.0000, 0.8769), Tl at (0.0726, 0.5000, 0.7787) and Tl at (0.1943, 0.5000, 0.3303).

[3]
DFT (GGA-PBE) results for a relaxed NaErTl2 crystal.

As for the energy relative to the elements: -210 meV per atom. The energy relative to the lowest polymorph listed for this composition is 25 meV/atom.

The space group is Fm-3m (No. 225) and the conventional cell measures 7.5213, 7.5213 and 7.5213 Å, with angles of 90.00, 90.00 and 90.00 degrees. Symmetry generates all atoms from Na at (0.0000, 0.0000, 0.0000), Er at (0.0000, 0.0000, 0.5000) and Tl at (0.2500, 0.2500, 0.2500).

[4]
DFT (GGA-PBE) results for a relaxed NaEr5Tl6 crystal.

As for the energy relative to the elements: -281 meV per atom.

The space group is P2/m (No. 10) and the conventional cell measures 5.3222, 7.5008 and 8.4379 Å, with angles of 90.00, 108.21 and 90.00 degrees. Symmetry generates all atoms from Na at (0.0000, 0.0000, 0.0000), Er at (0.0000, 0.5000, 0.0000), Er at (0.3358, 0.0000, 0.6717), Er at (0.3364, 0.5000, 0.6726), Tl at (0.1661, 0.2494, 0.3324) and Tl at (0.5000, 0.2445, 0.0000).

[5]
DFT (GGA-PBE) results for a relaxed NaErTl4 crystal.

As for the energy relative to the elements: -104 meV per atom. The energy relative to the lowest polymorph listed for this composition is 19 meV/atom.

The space group is C2/m (No. 12) and the conventional cell measures 12.1085, 3.7322 and 8.1235 Å, with angles of 90.00, 111.62 and 90.00 degrees. Symmetry generates all atoms from Na at (0.0000, 0.0000, 0.0000), Er at (0.0000, 0.0000, 0.5000), Tl at (0.1594, 0.5000, 0.3453) and Tl at (0.1808, 0.5000, 0.8251).

[6]
DFT (GGA-PBE) results for a relaxed NaEr4Tl7 crystal.

As for the energy relative to the elements: -93 meV per atom.

The space group is C2/m (No. 12) and the conventional cell measures 13.9938, 5.4469 and 11.3181 Å, with angles of 90.00, 124.71 and 90.00 degrees. Symmetry generates all atoms from Na at (0.0000, 0.0000, 0.0000), Er at (0.0807, 0.5000, 0.7839), Er at (0.2134, 0.5000, 0.3341), Tl at (0.0000, 0.5000, 0.0000), Tl at (0.0764, 0.0000, 0.3210), Tl at (0.1344, 0.5000, 0.5530) and Tl at (0.2223, 0.0000, 0.8891).

energy relative to the elements of number 4 (NaEr5Tl6)?
-281 meV per atom

The lowest energy relative to the elements belongs to which entry?
NaEr5Tl6